# 1
YHfCSe | PBE | relaxed

## Properties
- DFT total energy (eV per atom) = -8.4169

abc: 3.5694 3.5694 12.9734
angles: 90.00 90.00 120.00
Last column: nearest neighbours and their distance in Å.
Space group P-6m2 (No. 187)
Asymmetric unit:
Y: 0.0000 0.0000 0.1558 [2 per cell]  3 C 2.55
Hf: 0.3333 0.6667 0.3521 [2 per cell]  3 C 2.31
C: 0.6667 0.3333 0.2712 [2 per cell]  3 Hf 2.31, 3 Y 2.55
Se: 0.0000 0.0000 0.5000 [1 per cell]  6 Hf 2.82
Se: 0.3333 0.6667 0.0000 [1 per cell]  6 Y 2.89

=====

# 2
YHfCSe | PBE | relaxed

## Properties
- DFT total energy (eV per atom) = -8.4036

abc: 3.5786 3.5786 12.9655
angles: 90.00 90.00 120.00
Last column: nearest neighbours and their distance in Å.
Space group P-3m1 (No. 164)
Asymmetric unit:
Y: 0.3333 0.6667 0.3963 [2 per cell]  3 C 2.47
Hf: 0.3333 0.6667 0.0897 [2 per cell]  3 C 2.37
C: 0.0000 0.0000 0.0000 [1 per cell]  6 Hf 2.37
C: 0.0000 0.0000 0.5000 [1 per cell]  6 Y 2.47
Se: 0.3333 0.6667 0.7680 [2 per cell]  3 Hf 2.77, 3 Y 2.97

=====

# 3
HfZrCSe | PBE | relaxed

## Properties
- DFT total energy (eV per atom) = -8.9904

abc: 3.4571 3.4571 12.5803
angles: 90.00 90.00 120.00
Last column: nearest neighbours and their distance in Å.
Space group P-3m1 (No. 164)
Asymmetric unit:
Hf: 0.3333 0.6667 0.4059 [2 per cell]  3 C 2.32
Zr: 0.3333 0.6667 0.0965 [2 per cell]  3 C 2.34
C: 0.0000 0.0000 0.0000 [1 per cell]  6 Zr 2.34
C: 0.0000 0.0000 0.5000 [1 per cell]  6 Hf 2.32
Se: 0.3333 0.6667 0.7462 [2 per cell]  3 Hf 2.76, 3 Zr 2.81

=====

# 4
HfZrCSe | PBE | relaxed

## Properties
- DFT total energy (eV per atom) = -8.9932

abc: 3.4576 3.4576 12.5802
angles: 90.00 90.00 120.00
Last column: nearest neighbours and their distance in Å.
Space group P6_3mc (No. 186)
Asymmetric unit:
Hf: 0.3333 0.6667 0.0000 [2 per cell]  3 C 2.30
Zr: 0.3333 0.6667 0.3095 [2 per cell]  3 C 2.36
C: 0.0000 0.0000 0.4089 [2 per cell]  3 Hf 2.30, 3 Zr 2.36
Se: 0.3333 0.6667 0.6526 [2 per cell]  3 Hf 2.77, 3 Zr 2.81

=====

# 5
HfZrCSe | PBE | relaxed

## Properties
- DFT total energy (eV per atom) = -8.9921

abc: 3.4590 3.4590 12.5729
angles: 90.00 90.00 120.00
Last column: nearest neighbours and their distance in Å.
Space group P-6m2 (No. 187)
Asymmetric unit:
Hf: 0.0000 0.0000 0.1540 [2 per cell]  3 C 2.30
Zr: 0.3333 0.6667 0.3444 [2 per cell]  3 C 2.36
C: 0.6667 0.3333 0.2443 [2 per cell]  3 Hf 2.30, 3 Zr 2.36
Se: 0.0000 0.0000 0.5000 [1 per cell]  6 Zr 2.80
Se: 0.3333 0.6667 0.0000 [1 per cell]  6 Hf 2.78

=====

# 6
HfSi2C | PBE | relaxed

## Properties
- DFT total energy (eV per atom) = -7.2245

abc: 2.9526 2.9526 14.1445
angles: 90.00 90.00 120.00
Last column: nearest neighbours and their distance in Å.
Space group P6_3/mmc (No. 194)
Asymmetric unit:
Hf: 0.3333 0.6667 0.2500 [2 per cell]  6 Si 2.90, 6 Hf 2.95
Si: 0.3333 0.6667 0.5841 [4 per cell]  3 C 2.08
C: 0.0000 0.0000 0.0000 [2 per cell]  6 Si 2.08

=====

# 7
Hf2Ta4Si3C3 | PBE | relaxed

## Properties
- DFT total energy (eV per atom) = -9.8995

abc: 9.5747 5.5271 13.3869
angles: 90.00 103.87 90.00
Last column: nearest neighbours and their distance in Å.
Space group C2/c (No. 15)
Asymmetric unit:
Hf: 0.0479 0.0823 0.3971 [8 per cell]  3 C 2.27-2.29
Ta: 0.1141 0.4139 0.5921 [8 per cell]  3 C 2.19-2.21
Ta: 0.2204 0.4174 0.9079 [8 per cell]  3 C 2.19-2.21
Si: 0.0000 0.4512 0.2500 [4 per cell]  4 Ta 2.70-2.71, 2 Hf 2.79
Si: 0.1835 0.0979 0.7502 [8 per cell]  4 Ta 2.69-2.71, 2 Hf 2.77-2.79
C: 0.0832 0.2496 0.0000 [8 per cell]  4 Ta 2.19-2.21, 2 Hf 2.27
C: 0.2500 0.2500 0.5000 [4 per cell]  4 Ta 2.19, 2 Hf 2.29

=====

# 8
Hf4Ta2Si3C3 | PBE | relaxed

## Properties
- DFT total energy (eV per atom) = -9.6875

abc: 9.6533 5.5754 13.6643
angles: 90.00 103.71 90.00
Last column: nearest neighbours and their distance in Å.
Space group C2/c (No. 15)
Asymmetric unit:
Hf: 0.1168 0.0807 0.0995 [8 per cell]  3 C 2.27-2.29
Hf: 0.2154 0.0845 0.4006 [8 per cell]  3 C 2.27-2.29
Ta: 0.0555 0.4152 0.9131 [8 per cell]  3 C 2.17-2.20
Si: 0.0000 0.1269 0.7500 [4 per cell]  2 Ta 2.70, 2 Si 2.79, 4 Hf 2.81-2.82
Si: 0.1433 0.4388 0.2495 [8 per cell]  2 Ta 2.69-2.70, 2 Si 2.77-2.79, 4 Hf 2.82-2.84
C: 0.0834 0.2495 0.5000 [8 per cell]  2 Ta 2.19-2.20, 4 Hf 2.27-2.29
C: 0.2500 0.2500 0.0000 [4 per cell]  2 Ta 2.17, 4 Hf 2.28-2.29

=====

# 9
Hf2Si3W4C3 | PBE | relaxed

## Properties
- DFT total energy (eV per atom) = -9.9345

abc: 9.3633 5.4227 13.2277
angles: 90.00 103.58 90.00
Last column: nearest neighbours and their distance in Å.
Space group C2/c (No. 15)
Asymmetric unit:
Hf: 0.0462 0.0837 0.3875 [8 per cell]  3 C 2.28-2.31
Si: 0.0000 0.4923 0.2500 [4 per cell]  4 W 2.67-2.69, 4 Si 2.82-2.85, 2 Hf 2.83
Si: 0.2050 0.1199 0.7490 [8 per cell]  4 W 2.64-2.69, 4 Si 2.82-2.85, 2 Hf 2.83-2.84
W: 0.1109 0.4127 0.5854 [8 per cell]  3 C 2.10-2.17
W: 0.2241 0.4171 0.9144 [8 per cell]  3 C 2.10-2.16
C: 0.0809 0.2428 0.9998 [8 per cell]  4 W 2.10-2.17, 2 Hf 2.28
C: 0.2500 0.2500 0.5000 [4 per cell]  4 W 2.11, 2 Hf 2.31

=====

# 10
Y2Hf4Si3C3 | PBE | relaxed

## Properties
- DFT total energy (eV per atom) = -8.7697

abc: 10.0242 5.7905 14.2243
angles: 90.00 103.63 90.00
Last column: nearest neighbours and their distance in Å.
Space group C2/c (No. 15)
Asymmetric unit:
Y: 0.0448 0.0820 0.3877 [8 per cell]  3 C 2.49-2.51
Hf: 0.1118 0.4110 0.5868 [8 per cell]  3 C 2.26
Hf: 0.2243 0.4188 0.9132 [8 per cell]  3 C 2.25-2.26
Si: 0.0000 0.4427 0.7500 [4 per cell]  4 Hf 2.81-2.83, 4 Si 2.90-2.92
Si: 0.2348 0.1512 0.7507 [8 per cell]  4 Hf 2.80-2.82, 4 Si 2.90-2.92
C: 0.0861 0.2581 0.0000 [8 per cell]  4 Hf 2.25-2.26, 2 Y 2.51
C: 0.2500 0.2500 0.5000 [4 per cell]  4 Hf 2.26, 2 Y 2.49

=====

# 11
Y4Hf2Si3C3 | PBE | relaxed

## Properties
- DFT total energy (eV per atom) = -8.1005

abc: 10.4648 6.0462 14.5674
angles: 90.00 104.38 90.00
Last column: nearest neighbours and their distance in Å.
Space group C2/c (No. 15)
Asymmetric unit:
Y: 0.1183 0.0774 0.1029 [8 per cell]  3 C 2.50-2.53
Y: 0.2115 0.0874 0.3971 [8 per cell]  3 C 2.50-2.53
Hf: 0.0607 0.4128 0.9221 [8 per cell]  3 C 2.24-2.25
Si: 0.0000 0.1762 0.7500 [4 per cell]  2 Si 2.51
Si: 0.1193 0.4644 0.2491 [8 per cell]  2 Si 2.50-2.51
C: 0.0782 0.2656 0.5002 [8 per cell]  2 Hf 2.24, 2 Y 2.50
C: 0.2500 0.2500 0.0000 [4 per cell]  2 Hf 2.25, 4 Y 2.50

=====

# 12
Hf4ZnSiC2 | PBE | relaxed

## Properties
- DFT total energy (eV per atom) = -8.7952

abc: 3.2731 3.2731 13.8244
angles: 90.00 90.00 120.00
Last column: nearest neighbours and their distance in Å.
Space group P-6m2 (No. 187)
Asymmetric unit:
Hf: 0.0000 0.0000 0.1518 [2 per cell]  3 C 2.28
Hf: 0.3333 0.6667 0.3344 [2 per cell]  3 C 2.27
Zn: 0.0000 0.0000 0.5000 [1 per cell]  6 Hf 2.97, 6 Zn 3.27
Si: 0.3333 0.6667 0.0000 [1 per cell]  6 Hf 2.82
C: 0.6667 0.3333 0.2441 [2 per cell]  6 Hf 2.27-2.28

=====

> DFT total energy of number 5 (HfZrCSe)?

-8.9921 eV per atom

=====

> Number 4 is which compound?

HfZrCSe

=====

What did the seventh record say?
Hf2Ta4Si3C3 | PBE | relaxed

## Properties
- DFT total energy (eV per atom) = -9.8995

abc: 9.5747 5.5271 13.3869
angles: 90.00 103.87 90.00
Last column: nearest neighbours and their distance in Å.
Space group C2/c (No. 15)
Asymmetric unit:
Hf: 0.0479 0.0823 0.3971 [8 per cell]  3 C 2.27-2.29
Ta: 0.1141 0.4139 0.5921 [8 per cell]  3 C 2.19-2.21
Ta: 0.2204 0.4174 0.9079 [8 per cell]  3 C 2.19-2.21
Si: 0.0000 0.4512 0.2500 [4 per cell]  4 Ta 2.70-2.71, 2 Hf 2.79
Si: 0.1835 0.0979 0.7502 [8 per cell]  4 Ta 2.69-2.71, 2 Hf 2.77-2.79
C: 0.0832 0.2496 0.0000 [8 per cell]  4 Ta 2.19-2.21, 2 Hf 2.27
C: 0.2500 0.2500 0.5000 [4 per cell]  4 Ta 2.19, 2 Hf 2.29

=====

> Among the records above, which one has the lowest DFT total energy?

Hf2Si3W4C3